Here is an optimized crystal structure of Dy2ScCd3 from Alexandria via LeMat-Bulk. Energies are from GGA-PBE.

Unit cell a=3.664 b=3.664 c=11.105 alpha=90.00 beta=90.00 gamma=90.00
Space group P4/mmm (No. 123)
Inequivalent atoms, fractional coordinates:
Dy 0.000 0.000 0.173 x2
Sc 0.000 0.000 0.500 x1
Cd 0.500 0.500 0.000 x1
Cd 0.500 0.500 0.350 x2

Offset from the most stable computed form: 0 meV per atom
E_form: -0.3039 eV per atom


Here is an optimized crystal structure of Dy2Sc8Cd from Alexandria via LeMat-Bulk. Energies are from GGA-PBE.

Unit cell a=14.831 b=6.183 c=6.317 alpha=90.00 beta=101.92 gamma=90.00
Space group C2/m (No. 12)
Inequivalent atoms, fractional coordinates:
Dy 0.186 0.000 0.292 x4
Sc 0.079 0.261 0.879 x8
Sc 0.093 0.500 0.420 x4
Sc 0.245 0.000 0.816 x4
Cd 0.000 0.000 0.500 x2

E_form: 0.0991 eV per atom


Here is an optimized crystal structure of DySc2Cd from Alexandria via LeMat-Bulk. Energies are from GGA-PBE.

Unit cell a=12.068 b=3.589 c=5.189 alpha=90.00 beta=115.39 gamma=90.00
Space group C2/m (No. 12)
Inequivalent atoms, fractional coordinates:
Dy 0.000 0.000 0.000 x2
Sc 0.226 0.000 0.726 x4
Cd 0.000 0.500 0.500 x2

Offset from the most stable computed form: 0 meV per atom
E_form: -0.1268 eV per atom


Here is an optimized crystal structure of Dy12Sc5Cd2 from Alexandria via LeMat-Bulk. Energies are from GGA-PBE.

Unit cell a=15.078 b=9.030 c=8.086 alpha=90.00 beta=90.91 gamma=90.00
Space group C2/m (No. 12)
Inequivalent atoms, fractional coordinates:
Dy 0.058 0.000 0.325 x4
Dy 0.089 0.500 0.885 x4
Dy 0.125 0.197 0.662 x8
Dy 0.154 0.315 0.239 x8
Sc 0.000 0.500 0.500 x2
Sc 0.196 0.000 0.013 x4
Sc 0.235 0.500 0.582 x4
Cd 0.000 0.176 0.000 x4

E_form: 0.0750 eV per atom


Here is an optimized crystal structure of DySc2Cd from Alexandria via LeMat-Bulk. Energies are from GGA-PBE.

Unit cell a=7.363 b=7.363 c=7.363 alpha=90.00 beta=90.00 gamma=90.00
Space group F-43m (No. 216)
Inequivalent atoms, fractional coordinates:
Dy 0.000 0.000 0.000 x4
Sc 0.000 0.000 0.500 x4
Sc 0.250 0.250 0.750 x4
Cd 0.250 0.250 0.250 x4

Offset from the most stable computed form: 98 meV per atom
E_form: -0.0287 eV per atom


Here is an optimized crystal structure of DyScCd17 from Alexandria via LeMat-Bulk. Energies are from GGA-PBE.

Unit cell a=10.0192 b=10.0192 c=15.0196 alpha=90.00 beta=90.00 gamma=120.00
Space group R3m (No. 160, hexagonal axes)
Inequivalent atoms, fractional coordinates:
Dy 0.0000 0.0000 0.0000 x3
Sc 0.0000 0.0000 0.6374 x3
Cd 0.0000 0.0000 0.2252 x3
Cd 0.0000 0.0000 0.4131 x3
Cd 0.0006 0.3155 0.3196 x18
Cd 0.1847 0.3695 0.8030 x9
Cd 0.1860 0.3720 0.1596 x9
Cd 0.2118 0.4237 0.4933 x9

E_form: -0.0600 eV per atom